# 1
The following is a PBE calculation of a relaxed Al2AgRu crystal, from Alexandria.

For the formation enthalpy at 0 K, the calculation gives 107 meV/atom. Its density of states at the Fermi level is 6.94 states/eV per cell. The value obtained for the total energy is -38.4 eV/cell. The value obtained for the density is 6.8 g cm⁻³.

The structure belongs to space group Cmm2 (No. 35); the cell edges are 3.060, 4.710 and 8.851 Å and the angles 90.00°, 90.00° and 90.00°. The inequivalent atoms are Al at (0.000, 0.000, 0.000), Al at (0.000, 0.500, 0.259), Ag at (0.000, 0.000, 0.513) and Ru at (0.000, 0.500, 0.786).

# 2
The following is a PBE calculation of a relaxed EuNpCl2 crystal, from Alexandria.

Its density of states at the Fermi level is 28.90 states/eV per cell. For the raw formation energy, the calculation gives -1.00 eV/atom. The value obtained for the total energy is -92.7 eV/cell. The value obtained for the density is 6.5 g cm⁻³.

The structure belongs to space group R-3m (No. 166, hexagonal axes); the cell edges are 3.7446, 3.7446 and 29.2296 Å and the angles 90.00°, 90.00° and 120.00°. The inequivalent atoms are Eu at (0.0000, 0.0000, 0.0000), Np at (0.0000, 0.0000, 0.5000) and Cl at (0.0000, 0.0000, 0.1002).

# 3
The following is a PBE calculation of a relaxed DyPaCl6 crystal, from Alexandria.

Its density of states at the Fermi level is 31.18 states/eV per cell. For the raw formation energy, the calculation gives -1.93 eV/atom. The value obtained for the total energy is -121.7 eV/cell. The value obtained for the density is 3.9 g cm⁻³.

The structure belongs to space group R-3 (No. 148, hexagonal axes); the cell edges are 6.9008, 6.9008 and 18.8498 Å and the angles 90.00°, 90.00° and 120.00°. The inequivalent atoms are Dy at (0.0000, 0.0000, 0.0000), Pa at (0.0000, 0.0000, 0.5000) and Cl at (0.0083, 0.3621, 0.7481).

# 4
The following is a PBE calculation of a relaxed AgSbTe2As crystal, from Alexandria.

Its density of states at the Fermi level is 4.53 states/eV per cell. For the raw formation energy, the calculation gives 0.81 eV/atom. The value obtained for the total energy is -13.9 eV/cell. The value obtained for the energy above the most stable polymorph in this dataset is 154 meV per atom. The value obtained for the density is 6.1 g cm⁻³.

The structure belongs to space group P4/mmm (No. 123); the cell edges are 5.384, 5.384 and 5.290 Å and the angles 90.00°, 90.00° and 90.00°. The inequivalent atoms are Ag at (0.000, 0.000, 0.000), Sb at (0.000, 0.000, 0.500), Te at (0.000, 0.500, 0.000) and As at (0.500, 0.500, 0.500).

# 5
The following is a PBE calculation of a relaxed La2Pm2Tl5 crystal, from Alexandria.

For the formation enthalpy at 0 K, the calculation gives -278 meV/atom. Its density of states at the Fermi level is 33.03 states/eV per cell. The value obtained for the total energy is -134.8 eV/cell. The value obtained for the density is 9.1 g cm⁻³.

The structure belongs to space group Cmce (No. 64); the cell edges are 16.875, 8.291 and 8.333 Å and the angles 90.00°, 90.00° and 90.00°. The inequivalent atoms are La at (0.201, 0.000, 0.000), Pm at (0.000, 0.157, 0.342), Tl at (0.000, 0.000, 0.000) and Tl at (0.130, 0.144, 0.643).

# 6
The following is a PBE calculation of a relaxed CeMg6Sc5 crystal, from Alexandria.

For the formation enthalpy at 0 K, the calculation gives -6 meV/atom. Its density of states at the Fermi level is 35.64 states/eV per cell. The value obtained for the total energy is -94.5 eV/cell. The value obtained for the density is 3.0 g cm⁻³.

The structure belongs to space group Immm (No. 71); the cell edges are 5.153, 7.230 and 15.428 Å and the angles 90.00°, 90.00° and 90.00°. The inequivalent atoms are Ce at (0.000, 0.000, 0.000), Mg at (0.000, 0.237, 0.500), Mg at (0.000, 0.257, 0.172), Sc at (0.000, 0.000, 0.334), Sc at (0.000, 0.500, 0.000) and Sc at (0.000, 0.500, 0.338).